1.
SCAN Mn4ReTc, PBEsol geometry; energy relative to the elements = -12.1 meV/atom; symmetry = No. 216; uncorrected energy = -29.875 eV per atom
1.0
-0.786 4.328 1.377
-1.919 3.028 -2.897
-4.320 1.445 0.706
Re Mn Tc
1 4 1
Direct
0.750 0.750 0.750 Re
0.374 0.877 0.374 Mn
0.374 0.374 0.374 Mn
0.877 0.374 0.374 Mn
0.374 0.374 0.877 Mn
0.000 0.000 0.000 Tc


2.
SCAN NiAgAu2, PBEsol geometry; E above lowest polymorph = 81 meV/atom; energy relative to the elements = 90.8 meV/atom; symmetry = No. 119; uncorrected energy = -46.373 eV per atom
1.0
3.936 0.000 0.000
0.000 3.936 0.000
-1.968 -1.968 3.931
Au Ag Ni
2 1 1
Direct
0.000 0.000 0.000 Au
0.750 0.250 0.500 Au
0.250 0.750 0.500 Ag
0.500 0.500 0.000 Ni


3.
SCAN Sc2Sb, PBEsol geometry; symmetry = No. 129; uncorrected energy = -22.766 eV per atom; formation energy from raw total energies = -247.2 kJ/mol of formula units
1.0
-1.614 3.012 2.378
-3.011 -2.593 1.242
4.433 -2.307 5.932
Sb Sc
2 4
Direct
0.500 0.000 0.779 Sb
0.000 0.500 0.221 Sb
0.000 0.500 0.845 Sc
0.500 0.000 0.155 Sc
0.500 0.500 0.500 Sc
0.000 0.000 0.500 Sc


4.
SCAN Cd2HgAs2, PBEsol geometry; energy relative to the elements = -18.5 meV/atom; symmetry = No. 139; uncorrected energy = -33.894 eV per atom
1.0
4.923 0.000 0.000
0.000 4.923 0.000
-2.462 -2.462 4.864
Hg Cd As
1 2 2
Direct
0.000 0.000 0.000 Hg
0.250 0.750 0.500 Cd
0.750 0.250 0.500 Cd
0.375 0.375 0.751 As
0.625 0.625 0.249 As